Record 1
# AlIn2Tc (PBE, relaxed)
# - ΔE_f (eV/atom) = 0.154
# - theoretical density (g/cm3) = 7.921
# - energy (eV per atom) = -4.742
data_AlIn2Tc
_chemical_formula_sum 'Al1 In2 Tc1'
_cell_length_a 3.629
_cell_length_b 3.629
_cell_length_c 5.644
_cell_angle_alpha 90.00
_cell_angle_beta 90.00
_cell_angle_gamma 90.00
_symmetry_space_group_name_H-M 'P 4/m m m'
_symmetry_Int_Tables_number 123
_symmetry_space_group_name_Hall '-P 4 2'
loop_
_atom_site_label
_atom_site_fract_x
_atom_site_fract_y
_atom_site_fract_z
Al1 0.000 0.000 0.000
In1 0.500 0.500 0.255
Tc1 0.000 0.000 0.500

***

Record 2
# AlIn2Tc (PBE, relaxed)
# - ΔE_f (eV/atom) = 0.266
# - theoretical density (g/cm3) = 7.815
# - energy (eV per atom) = -4.630
data_AlIn2Tc
_chemical_formula_sum 'Al2 In4 Tc2'
_cell_length_a 10.026
_cell_length_b 3.071
_cell_length_c 4.940
_cell_angle_alpha 90.00
_cell_angle_beta 97.83
_cell_angle_gamma 90.00
_symmetry_space_group_name_H-M 'C 1 2/m 1'
_symmetry_Int_Tables_number 12
loop_
_symmetry_equiv_pos_as_xyz
'x,y,z'
'-x,-y,-z'
'-x,y,-z'
'x,-y,z'
'x+1/2,y+1/2,z'
'-x+1/2,-y+1/2,-z'
'-x+1/2,y+1/2,-z'
'x+1/2,-y+1/2,z'
loop_
_atom_site_label
_atom_site_fract_x
_atom_site_fract_y
_atom_site_fract_z
Al1 0.000 0.000 0.000
In1 0.238 0.000 0.740
Tc1 0.000 0.500 0.500

***

Record 3
# AlIn3Tc (PBE, relaxed)
# - energy above the most stable polymorph in this dataset (meV/atom) = 0
# - ΔE_f (eV/atom) = 0.473
# - theoretical density (g/cm3) = 5.509
# - energy (eV per atom) = -3.991
data_AlIn3Tc
_chemical_formula_sum 'Al1 In3 Tc1'
_cell_length_a 5.211
_cell_length_b 5.211
_cell_length_c 5.211
_cell_angle_alpha 90.00
_cell_angle_beta 90.00
_cell_angle_gamma 90.00
_symmetry_space_group_name_H-M 'P m -3 m'
_symmetry_Int_Tables_number 221
_symmetry_space_group_name_Hall '-P 4 2 3'
loop_
_atom_site_label
_atom_site_fract_x
_atom_site_fract_y
_atom_site_fract_z
Al1 0.000 0.000 0.000
In1 0.000 0.500 0.500
Tc1 0.500 0.500 0.500

***

Record 4
# AlIn2Tc (PBE, relaxed)
# - ΔE_f (eV/atom) = 0.476
# - theoretical density (g/cm3) = 7.863
# - energy (eV per atom) = -4.420
data_AlIn2Tc
_chemical_formula_sum 'Al4 In8 Tc4'
_cell_length_a 6.691
_cell_length_b 6.691
_cell_length_c 6.691
_cell_angle_alpha 90.00
_cell_angle_beta 90.00
_cell_angle_gamma 90.00
_symmetry_space_group_name_H-M 'F -4 3 m'
_symmetry_Int_Tables_number 216
_symmetry_space_group_name_Hall 'F -4 2 3'
loop_
_atom_site_label
_atom_site_fract_x
_atom_site_fract_y
_atom_site_fract_z
Al1 0.000 0.000 0.000
In1 0.000 0.000 0.500
In2 0.250 0.250 0.750
Tc1 0.250 0.250 0.250

***

Record 5
# AlIn2Tc (PBE, relaxed)
# - ΔE_f (eV/atom) = 0.147
# - theoretical density (g/cm3) = 7.455
# - energy (eV per atom) = -4.750
data_AlIn2Tc
_chemical_formula_sum 'Al3 In6 Tc3'
_cell_length_a 3.1424
_cell_length_b 3.1424
_cell_length_c 27.7101
_cell_angle_alpha 90.00
_cell_angle_beta 90.00
_cell_angle_gamma 120.00
_symmetry_space_group_name_H-M 'R 3 m'
_symmetry_Int_Tables_number 160
_symmetry_space_group_name_Hall 'R 3 -2"'
loop_
_atom_site_label
_atom_site_fract_x
_atom_site_fract_y
_atom_site_fract_z
Al1 0.0000 0.0000 0.0000
In1 0.0000 0.0000 0.5233
In2 0.0000 0.0000 0.7577
Tc1 0.0000 0.0000 0.2683

***

Record 6
# AlInTc4 (PBE, relaxed)
# - ΔE_f (eV/atom) = 0.270
# - theoretical density (g/cm3) = 8.967
# - energy (eV per atom) = -7.721
data_AlInTc4
_chemical_formula_sum 'Al4 In4 Tc16'
_cell_length_a 7.340
_cell_length_b 7.340
_cell_length_c 7.340
_cell_angle_alpha 90.00
_cell_angle_beta 90.00
_cell_angle_gamma 90.00
_symmetry_space_group_name_H-M 'F -4 3 m'
_symmetry_Int_Tables_number 216
_symmetry_space_group_name_Hall 'F -4 2 3'
loop_
_atom_site_label
_atom_site_fract_x
_atom_site_fract_y
_atom_site_fract_z
Al1 0.000 0.000 0.000
In1 0.250 0.250 0.750
Tc1 0.125 0.125 0.375

***

Record 7
# AlIn2Tc (PBE, relaxed)
# - ΔE_f (eV/atom) = 0.121
# - theoretical density (g/cm3) = 7.519
# - energy (eV per atom) = -4.775
data_AlIn2Tc
_chemical_formula_sum 'Al1 In2 Tc1'
_cell_length_a 3.584
_cell_length_b 4.178
_cell_length_c 5.518
_cell_angle_alpha 90.00
_cell_angle_beta 108.60
_cell_angle_gamma 90.00
_symmetry_space_group_name_H-M 'P 1 m 1'
_symmetry_Int_Tables_number 6
loop_
_symmetry_equiv_pos_as_xyz
'x,y,z'
'x,-y,z'
loop_
_atom_site_label
_atom_site_fract_x
_atom_site_fract_y
_atom_site_fract_z
Al1 0.000 0.000 0.000
In1 0.283 0.000 0.561
In2 0.590 0.500 0.187
Tc1 0.868 0.500 0.737

***

Record 8
# AlIn2Tc (PBE, relaxed)
# - ΔE_f (eV/atom) = 0.143
# - theoretical density (g/cm3) = 7.904
# - energy (eV per atom) = -4.753
data_AlIn2Tc
_chemical_formula_sum 'Al2 In4 Tc2'
_cell_length_a 10.128
_cell_length_b 3.373
_cell_length_c 4.828
_cell_angle_alpha 90.00
_cell_angle_beta 115.39
_cell_angle_gamma 90.00
_symmetry_space_group_name_H-M 'C 1 m 1'
_symmetry_Int_Tables_number 8
loop_
_symmetry_equiv_pos_as_xyz
'x,y,z'
'x,-y,z'
'x+1/2,y+1/2,z'
'x+1/2,-y+1/2,z'
loop_
_atom_site_label
_atom_site_fract_x
_atom_site_fract_y
_atom_site_fract_z
Al1 0.000 0.000 0.000
In1 0.232 0.000 0.642
In2 0.459 0.000 0.443
Tc1 0.212 0.500 0.090

***

Record 9
# AlIn4Tc (PBE, relaxed)
# - ΔE_f (eV/atom) = 0.709
# - theoretical density (g/cm3) = 7.203
# - energy (eV per atom) = -3.468
data_AlIn4Tc
_chemical_formula_sum 'Al4 In16 Tc4'
_cell_length_a 8.137
_cell_length_b 8.137
_cell_length_c 8.137
_cell_angle_alpha 90.00
_cell_angle_beta 90.00
_cell_angle_gamma 90.00
_symmetry_space_group_name_H-M 'F -4 3 m'
_symmetry_Int_Tables_number 216
_symmetry_space_group_name_Hall 'F -4 2 3'
loop_
_atom_site_label
_atom_site_fract_x
_atom_site_fract_y
_atom_site_fract_z
Al1 0.000 0.000 0.000
In1 0.125 0.125 0.625
Tc1 0.250 0.250 0.250

***

Record 10
# AlIn2Tc (PBE, relaxed)
# - ΔE_f (eV/atom) = 0.182
# - theoretical density (g/cm3) = 8.106
# - energy (eV per atom) = -4.715
data_AlIn2Tc
_chemical_formula_sum 'Al2 In4 Tc2'
_cell_length_a 4.109
_cell_length_b 4.109
_cell_length_c 8.607
_cell_angle_alpha 90.00
_cell_angle_beta 90.00
_cell_angle_gamma 90.00
_symmetry_space_group_name_H-M 'I -4 m 2'
_symmetry_Int_Tables_number 119
_symmetry_space_group_name_Hall 'I -4 -2'
loop_
_atom_site_label
_atom_site_fract_x
_atom_site_fract_y
_atom_site_fract_z
Al1 0.000 0.000 0.000
In1 0.000 0.000 0.500
In2 0.000 0.500 0.750
Tc1 0.000 0.500 0.250

***

Record 11
# AlIn3Tc (PBE, relaxed)
# - energy above the most stable polymorph in this dataset (meV/atom) = 654
# - ΔE_f (eV/atom) = 1.127
# - theoretical density (g/cm3) = 5.494
# - energy (eV per atom) = -3.338
data_AlIn3Tc
_chemical_formula_sum 'Al1 In3 Tc1'
_cell_length_a 5.216
_cell_length_b 5.216
_cell_length_c 5.216
_cell_angle_alpha 90.00
_cell_angle_beta 90.00
_cell_angle_gamma 90.00
_symmetry_space_group_name_H-M 'P m -3 m'
_symmetry_Int_Tables_number 221
_symmetry_space_group_name_Hall '-P 4 2 3'
loop_
_atom_site_label
_atom_site_fract_x
_atom_site_fract_y
_atom_site_fract_z
Al1 0.000 0.000 0.000
In1 0.000 0.000 0.500
Tc1 0.500 0.500 0.500

***

Record 12
# Al3InTc (PBE, relaxed)
# - energy above the most stable polymorph in this dataset (meV/atom) = 0
# - ΔE_f (eV/atom) = 0.153
# - theoretical density (g/cm3) = 4.327
# - energy (eV per atom) = -4.714
data_Al3InTc
_chemical_formula_sum 'Al3 In1 Tc1'
_cell_length_a 4.831
_cell_length_b 4.831
_cell_length_c 4.831
_cell_angle_alpha 90.00
_cell_angle_beta 90.00
_cell_angle_gamma 90.00
_symmetry_space_group_name_H-M 'P m -3 m'
_symmetry_Int_Tables_number 221
_symmetry_space_group_name_Hall '-P 4 2 3'
loop_
_atom_site_label
_atom_site_fract_x
_atom_site_fract_y
_atom_site_fract_z
Al1 0.000 0.000 0.500
In1 0.500 0.500 0.500
Tc1 0.000 0.000 0.000